A relaxed Nd6TlAg3 crystal. Source: Alexandria via LeMat-Bulk, functional PBE.

```
Nd6TlAg3
1.0
-4.879 -0.764 1.659
0.479 -9.359 -2.903
3.767 -0.511 10.845
Nd Tl Ag
12 2 6
Direct
0.250 0.460 0.095 Nd
0.750 0.540 0.905 Nd
0.250 0.140 0.208 Nd
0.750 0.860 0.792 Nd
0.250 0.632 0.690 Nd
0.750 0.368 0.310 Nd
0.250 0.257 0.512 Nd
0.750 0.743 0.488 Nd
0.250 0.831 0.299 Nd
0.750 0.169 0.701 Nd
0.250 0.091 0.910 Nd
0.750 0.909 0.090 Nd
0.250 0.945 0.615 Tl
0.750 0.055 0.385 Tl
0.250 0.536 0.395 Ag
0.750 0.464 0.605 Ag
0.250 0.363 0.803 Ag
0.750 0.637 0.197 Ag
0.250 0.763 0.972 Ag
0.750 0.237 0.028 Ag
```

Output
- Crystal system: monoclinic
- Final energy: -4.133 eV/atom
- Volume: 28.642 A^3/atom
- Space-group type: No. 11

=====

A relaxed Nd6TlAg5 crystal. Source: Alexandria via LeMat-Bulk, functional PBE.

```
Nd6TlAg5
1.0
5.212 0.002 -1.082
-0.003 7.645 -0.001
-0.960 0.000 8.354
Tl Nd Ag
1 6 5
Direct
0.000 0.000 0.000 Tl
0.831 0.747 0.661 Nd
0.831 0.253 0.661 Nd
0.500 0.259 0.000 Nd
0.500 0.741 0.000 Nd
0.169 0.747 0.339 Nd
0.169 0.253 0.339 Nd
0.664 0.500 0.332 Ag
0.340 0.000 0.675 Ag
0.000 0.500 0.000 Ag
0.660 0.000 0.325 Ag
0.336 0.500 0.668 Ag
```

Output
- Crystal system: monoclinic
- Final energy: -4.045 eV/atom
- Volume: 27.077 A^3/atom
- Space-group type: No. 10

=====

A relaxed NdTl2Ag crystal. Source: Alexandria via LeMat-Bulk, functional PBE.

```
NdTl2Ag
1.0
4.690 0.000 -1.301
-0.361 4.676 -1.301
0.086 0.093 9.414
Nd Tl Ag
2 4 2
Direct
0.132 0.132 0.264 Nd
0.868 0.868 0.736 Nd
0.000 0.500 0.000 Tl
0.500 0.000 0.000 Tl
0.354 0.354 0.708 Tl
0.646 0.646 0.292 Tl
0.250 0.750 0.500 Ag
0.750 0.250 0.500 Ag
```

Output
- Crystal system: tetragonal
- Final energy: -3.363 eV/atom
- Volume: 25.943 A^3/atom
- Space-group type: No. 139

=====

A relaxed Nd6Tl2Ag crystal. Source: Alexandria via LeMat-Bulk, functional PBE.

```
Nd6Tl2Ag
1.0
6.367 0.000 0.569
0.000 8.800 0.000
-0.079 0.000 10.301
Nd Tl Ag
12 4 2
Direct
0.868 0.954 0.225 Nd
0.873 0.658 0.550 Nd
0.901 0.698 0.940 Nd
0.599 0.198 0.560 Nd
0.627 0.158 0.950 Nd
0.632 0.454 0.275 Nd
0.132 0.046 0.775 Nd
0.127 0.342 0.450 Nd
0.099 0.302 0.060 Nd
0.401 0.802 0.440 Nd
0.373 0.842 0.050 Nd
0.368 0.546 0.725 Nd
0.907 0.381 0.760 Tl
0.593 0.881 0.740 Tl
0.407 0.119 0.260 Tl
0.093 0.619 0.240 Tl
0.500 0.500 0.000 Ag
0.000 0.000 0.500 Ag
```

Output
- Crystal system: monoclinic
- Final energy: -4.156 eV/atom
- ΔE to the lowest computed polymorph: 84 meV/atom
- Volume: 32.087 A^3/atom
- Space-group type: No. 14

=====

A relaxed Nd2Tl8Ag crystal. Source: Alexandria via LeMat-Bulk, functional PBE.

```
Nd2Tl8Ag
1.0
4.934 0.000 0.000
0.000 4.934 0.000
0.000 0.000 12.648
Nd Tl Ag
2 8 1
Direct
0.000 0.000 0.312 Nd
0.000 0.000 0.688 Nd
0.000 0.500 0.500 Tl
0.500 0.000 0.500 Tl
0.500 0.500 0.314 Tl
0.500 0.500 0.686 Tl
0.000 0.500 0.132 Tl
0.500 0.000 0.132 Tl
0.000 0.500 0.868 Tl
0.500 0.000 0.868 Tl
0.000 0.000 0.000 Ag
```

Output
- Crystal system: tetragonal
- Final energy: -3.025 eV/atom
- Volume: 27.995 A^3/atom
- Space-group type: No. 123

=====

A relaxed Nd6Tl2Ag crystal. Source: Alexandria via LeMat-Bulk, functional PBE.

```
Nd6Tl2Ag
1.0
-3.019 -2.322 -0.565
2.919 -1.729 -8.495
2.757 -5.273 6.946
Nd Tl Ag
6 2 1
Direct
0.500 0.604 0.000 Nd
0.500 0.396 0.396 Nd
0.500 0.000 0.604 Nd
0.000 0.266 0.000 Nd
0.000 0.734 0.734 Nd
0.000 0.000 0.266 Nd
0.000 0.333 0.667 Tl
0.000 0.667 0.333 Tl
0.500 0.000 0.000 Ag
```

Output
- Crystal system: hexagonal
- Final energy: -4.241 eV/atom
- ΔE to the lowest computed polymorph: 0 meV/atom
- Volume: 30.996 A^3/atom
- Space-group type: No. 189

=====

A relaxed Nd4TlAg3 crystal. Source: Alexandria via LeMat-Bulk, functional PBE.

```
Nd4TlAg3
1.0
3.834 0.000 0.000
0.000 4.951 0.000
0.000 0.000 11.810
Nd Tl Ag
4 1 3
Direct
0.500 0.500 0.361 Nd
0.000 0.500 0.844 Nd
0.000 0.000 0.154 Nd
0.500 0.000 0.642 Nd
0.500 0.500 0.079 Tl
0.000 0.500 0.574 Ag
0.000 0.000 0.428 Ag
0.500 0.000 0.918 Ag
```

Output
- Crystal system: orthorhombic
- Final energy: -4.003 eV/atom
- ΔE to the lowest computed polymorph: 33 meV/atom
- Volume: 28.026 A^3/atom
- Space-group type: No. 25

=====

A relaxed Nd5Tl8Ag crystal. Source: Alexandria via LeMat-Bulk, functional PBE.

```
Nd5Tl8Ag
1.0
-2.087 -5.975 5.124
7.245 2.963 2.245
-5.468 6.031 0.187
Nd Tl Ag
5 8 1
Direct
0.968 0.363 0.109 Nd
0.891 0.859 0.254 Nd
0.746 0.637 0.605 Nd
0.500 0.000 0.500 Nd
0.395 0.141 0.032 Nd
0.124 0.733 0.012 Tl
0.988 0.113 0.721 Tl
0.821 0.260 0.410 Tl
0.590 0.411 0.850 Tl
0.439 0.589 0.179 Tl
0.609 0.887 0.876 Tl
0.279 0.267 0.391 Tl
0.150 0.740 0.561 Tl
0.250 0.500 0.750 Ag
```

Output
- Crystal system: tetragonal
- Final energy: -3.478 eV/atom
- Volume: 29.673 A^3/atom
- Space-group type: No. 82

=====

A relaxed Nd8Tl2Ag crystal. Source: Alexandria via LeMat-Bulk, functional PBE.

```
Nd8Tl2Ag
1.0
-4.124 -0.215 -3.346
2.917 -5.474 -3.244
-3.439 -3.873 8.709
Nd Tl Ag
8 2 1
Direct
0.408 0.530 0.816 Nd
0.655 0.986 0.309 Nd
0.793 0.688 0.586 Nd
0.985 0.229 0.971 Nd
0.207 0.312 0.414 Nd
0.345 0.014 0.691 Nd
0.592 0.470 0.184 Nd
0.015 0.771 0.030 Nd
0.818 0.249 0.637 Tl
0.182 0.751 0.363 Tl
0.500 0.000 0.000 Ag
```

Output
- Crystal system: monoclinic
- Final energy: -4.307 eV/atom
- ΔE to the lowest computed polymorph: 26 meV/atom
- Volume: 32.023 A^3/atom
- Space-group type: No. 12

=====

A relaxed NdTmTlAg crystal. Source: Alexandria via LeMat-Bulk, functional PBE.

```
NdTmTlAg
1.0
5.321 0.000 0.000
2.661 4.608 0.000
2.661 1.536 4.345
Tl Tm Nd Ag
1 1 1 1
Direct
0.750 0.750 0.750 Tl
0.000 0.000 0.000 Tm
0.500 0.500 0.500 Nd
0.250 0.250 0.250 Ag
```

Output
- Crystal system: cubic
- Final energy: -3.930 eV/atom
- ΔE to the lowest computed polymorph: 17 meV/atom
- Volume: 26.635 A^3/atom
- Space-group type: No. 216

=====

A relaxed NdTmTlAg crystal. Source: Alexandria via LeMat-Bulk, functional PBE.

```
NdTmTlAg
1.0
-3.602 0.282 -0.651
-0.690 -2.165 2.883
-0.346 6.307 4.653
Nd Tm Tl Ag
1 1 1 1
Direct
0.000 0.000 0.847 Nd
0.000 0.000 0.377 Tm
0.500 0.500 0.123 Tl
0.500 0.500 0.581 Ag
```

Output
- Crystal system: tetragonal
- Final energy: -3.947 eV/atom
- ΔE to the lowest computed polymorph: 0 meV/atom
- Volume: 26.426 A^3/atom
- Space-group type: No. 99

=====

A relaxed NdY2Tl2Ag2 crystal. Source: Alexandria via LeMat-Bulk, functional PBE.

```
NdY2Tl2Ag2
1.0
4.942 0.000 0.000
2.471 4.280 0.000
2.471 1.427 8.752
Nd Y Tl Ag
1 2 2 2
Direct
0.000 0.000 0.000 Nd
0.132 0.132 0.603 Y
0.868 0.868 0.397 Y
0.737 0.737 0.789 Tl
0.263 0.263 0.211 Tl
0.566 0.566 0.301 Ag
0.434 0.434 0.699 Ag
```

Output
- Crystal system: trigonal
- Final energy: -4.208 eV/atom
- Volume: 26.445 A^3/atom
- Space-group type: No. 166

=====

A relaxed NdYTlAg crystal. Source: Alexandria via LeMat-Bulk, functional PBE.

```
NdYTlAg
1.0
5.356 0.000 0.000
2.678 4.639 0.000
2.678 1.546 4.373
Y Tl Nd Ag
1 1 1 1
Direct
0.750 0.750 0.750 Y
0.500 0.500 0.500 Tl
0.250 0.250 0.250 Nd
0.000 0.000 0.000 Ag
```

Output
- Crystal system: cubic
- Final energy: -4.453 eV/atom
- Volume: 27.167 A^3/atom
- Space-group type: No. 216

=====

A relaxed NdTlZnAg crystal. Source: Alexandria via LeMat-Bulk, functional PBE.

```
NdTlZnAg
1.0
5.062 0.000 0.000
2.531 4.384 0.000
2.531 1.461 4.133
Tl Nd Zn Ag
1 1 1 1
Direct
0.500 0.500 0.500 Tl
0.000 0.000 0.000 Nd
0.750 0.750 0.750 Zn
0.250 0.250 0.250 Ag
```

Output
- Crystal system: cubic
- Final energy: -3.053 eV/atom
- Volume: 22.924 A^3/atom
- Space-group type: No. 216

=====

A relaxed NdZrTlAg crystal. Source: Alexandria via LeMat-Bulk, functional PBE.

```
NdZrTlAg
1.0
-2.985 2.280 -3.607
1.446 -0.074 -5.003
-2.626 -2.912 -3.427
Tl Nd Zr Ag
1 1 1 1
Direct
0.750 0.750 0.750 Tl
0.000 0.000 0.000 Nd
0.500 0.500 0.500 Zr
0.250 0.250 0.250 Ag
```

Output
- Crystal system: cubic
- Final energy: -4.721 eV/atom
- Volume: 24.969 A^3/atom
- Space-group type: No. 216

=====

A relaxed Nd3TmAg2 crystal. Source: Alexandria via LeMat-Bulk, functional PBE.

```
Nd3TmAg2
1.0
-3.795 0.662 -3.558
4.453 -1.703 -5.067
-2.431 -9.060 0.908
Nd Tm Ag
6 2 4
Direct
0.000 0.492 0.940 Nd
0.000 0.992 0.060 Nd
0.500 0.660 0.172 Nd
0.500 0.160 0.828 Nd
0.000 0.337 0.337 Nd
0.000 0.837 0.663 Nd
0.500 0.510 0.558 Tm
0.500 0.010 0.442 Tm
0.500 0.723 0.841 Ag
0.500 0.223 0.159 Ag
0.000 0.278 0.651 Ag
0.000 0.778 0.349 Ag
```

Output
- Crystal system: orthorhombic
- Final energy: -4.235 eV/atom
- Volume: 28.650 A^3/atom
- Space-group type: No. 26

=====

A relaxed NdTm2Ag crystal. Source: Alexandria via LeMat-Bulk, functional PBE.

```
NdTm2Ag
1.0
3.569 0.000 0.000
1.785 3.091 0.000
1.785 1.030 10.399
Tm Nd Ag
2 1 1
Direct
0.260 0.260 0.219 Tm
0.740 0.740 0.781 Tm
0.500 0.500 0.500 Nd
0.000 0.000 0.000 Ag
```

Output
- Crystal system: trigonal
- Final energy: -4.155 eV/atom
- ΔE to the lowest computed polymorph: 123 meV/atom
- Volume: 28.681 A^3/atom
- Space-group type: No. 166

=====

A relaxed Nd2TmAg5 crystal. Source: Alexandria via LeMat-Bulk, functional PBE.

```
Nd2TmAg5
1.0
-5.072 0.810 0.254
-0.846 -4.949 -1.114
3.055 0.482 7.408
Nd Tm Ag
2 1 5
Direct
0.731 0.731 0.462 Nd
0.269 0.269 0.538 Nd
0.000 0.000 0.000 Tm
0.500 0.500 0.000 Ag
0.889 0.389 0.778 Ag
0.389 0.889 0.778 Ag
0.111 0.611 0.222 Ag
0.611 0.111 0.222 Ag
```

Output
- Crystal system: tetragonal
- Final energy: -3.738 eV/atom
- Volume: 23.661 A^3/atom
- Space-group type: No. 139

=====

A relaxed Nd5TmAg4 crystal. Source: Alexandria via LeMat-Bulk, functional PBE.

```
Nd5TmAg4
1.0
-3.133 -1.915 -0.581
1.592 -3.039 1.432
-6.564 5.185 18.303
Nd Tm Ag
5 1 4
Direct
0.500 0.500 0.120 Nd
0.500 0.500 0.310 Nd
0.500 0.500 0.500 Nd
0.500 0.500 0.690 Nd
0.500 0.500 0.880 Nd
0.000 0.000 0.000 Tm
0.000 0.000 0.214 Ag
0.000 0.000 0.405 Ag
0.000 0.000 0.595 Ag
0.000 0.000 0.786 Ag
```

Output
- Crystal system: tetragonal
- Final energy: -4.165 eV/atom
- Volume: 27.816 A^3/atom
- Space-group type: No. 123

=====

A relaxed Nd3Tm4Ag crystal. Source: Alexandria via LeMat-Bulk, functional PBE.

```
Nd3Tm4Ag
1.0
-0.937 2.147 2.705
-0.640 -2.862 2.050
17.953 0.281 5.998
Tm Nd Ag
4 3 1
Direct
0.000 0.000 0.904 Tm
0.000 0.000 0.096 Tm
0.000 0.000 0.366 Tm
0.000 0.000 0.634 Tm
0.500 0.500 0.232 Nd
0.500 0.500 0.500 Nd
0.500 0.500 0.768 Nd
0.500 0.500 0.000 Ag
```

Output
- Crystal system: tetragonal
- Final energy: -4.441 eV/atom
- Volume: 30.295 A^3/atom
- Space-group type: No. 123